# 1
## PmSmSiCl (PBE)

Data for an optimized crystal structure of PmSmSiCl.

The structure belongs to space group R3m (No. 160, hexagonal axes); the cell edges are 4.2052, 4.2052 and 20.6583 Å and the angles 90.00°, 90.00° and 120.00°. The distinct sites, in fractional coordinates, are Pm at (0.0000, 0.0000, 0.0000), Sm at (0.0000, 0.0000, 0.5178), Si at (0.0000, 0.0000, 0.2583) and Cl at (0.0000, 0.0000, 0.7594).

As for the formation energy from raw total energies: -1.174 eV per atom. The volume is 26.36 A^3/atom.

# 2
## As2Se2I (PBE)

Data for an optimized crystal structure of As2Se2I.

The structure belongs to space group I4_1md (No. 109); the cell edges are 6.746, 6.746 and 13.298 Å and the angles 90.00°, 90.00° and 90.00°. The distinct sites, in fractional coordinates, are As at (0.000, 0.253, 0.000), Se at (0.000, 0.248, 0.217) and I at (0.000, 0.000, 0.515).

As for the formation energy from raw total energies: 0.054 eV per atom. The volume is 30.26 A^3/atom.

# 3
## SrCa3Mg4 (PBE)

Data for an optimized crystal structure of SrCa3Mg4.

The structure belongs to space group Pmma (No. 51); the cell edges are 11.478, 7.884 and 5.742 Å and the angles 90.00°, 90.00° and 90.00°. The distinct sites, in fractional coordinates, are Sr at (0.000, 0.000, 0.000), Ca at (0.000, 0.500, 0.000), Ca at (0.250, 0.000, 0.495), Ca at (0.250, 0.500, 0.494), Mg at (0.000, 0.261, 0.500) and Mg at (0.250, 0.261, 0.993).

The volume is 32.48 A^3/atom. For the formation energy, the calculation gives -0.07 eV/atom.

# 4
## BaMgHPb (PBE)

Data for an optimized crystal structure of BaMgHPb.

The structure belongs to space group P-6m2 (No. 187); the cell edges are 5.2385, 5.2385 and 4.2063 Å and the angles 90.00°, 90.00° and 120.00°. The distinct sites, in fractional coordinates, are Ba at (0.0000, 0.0000, 0.0000), Mg at (0.6667, 0.3333, 0.5000), H at (0.6667, 0.3333, 0.0000) and Pb at (0.3333, 0.6667, 0.5000).

The volume is 24.99 A^3/atom. For the total energy, the calculation gives -12.08 eV/cell.

# 5
## Cs2ZrAgI6 (PBE)

Data for an optimized crystal structure of Cs2ZrAgI6.

The structure belongs to space group Fm-3m (No. 225); the cell edges are 11.989, 11.989 and 11.989 Å and the angles 90.00°, 90.00° and 90.00°. The distinct sites, in fractional coordinates, are Cs at (0.250, 0.250, 0.250), Zr at (0.000, 0.000, 0.000), Ag at (0.000, 0.000, 0.500) and I at (0.000, 0.000, 0.245).

As for the formation energy from raw total energies: -0.973 eV per atom. The volume is 43.08 A^3/atom.

# 6
## LaEuGe (PBE)

Data for an optimized crystal structure of LaEuGe.

The structure belongs to space group P3m1 (No. 156); the cell edges are 4.9475, 4.9475 and 4.0987 Å and the angles 90.00°, 90.00° and 120.00°. The distinct sites, in fractional coordinates, are La at (0.0000, 0.0000, 0.0000), Eu at (0.3333, 0.6667, 0.4199) and Ge at (0.6667, 0.3333, 0.6935).

The volume is 28.96 A^3/atom. For the formation energy, the calculation gives -0.41 eV/atom.